[1]
DFT (GGA-PBE) results for a relaxed Rb2PmAg2Te4 crystal.

a b c (Å): 16.6066 4.4774 8.9127
angles (deg): 90.00 108.53 90.00
Space group C2/m (No. 12)
Asymmetric unit:
Rb 0.1314 0.0000 0.0639 x4
Pm 0.0000 0.0000 0.5000 x2
Ag 0.1799 0.5000 0.4835 x4
Te 0.0145 0.5000 0.2594 x4
Te 0.1990 0.0000 0.6908 x4

Calculated values
Formation energy (no corrections), eV per atom: -0.856
Fermi-level density of states, states/eV/cell: 8.254
Theoretical density, g cm⁻³: 5.5
Energy, eV/atom: -3.63

***

[2]
DFT (GGA-PBE) results for a relaxed RbPm3Ag2Te6 crystal.

a b c (Å): 21.8040 4.6072 10.3730
angles (deg): 90.00 112.28 90.00
Space group C2/m (No. 12)
Asymmetric unit:
Rb 0.0000 0.0000 0.0000 x2
Pm 0.0000 0.0000 0.5000 x2
Pm 0.1725 0.5000 0.8424 x4
Ag 0.1105 0.5000 0.4811 x4
Te 0.0130 0.5000 0.7269 x4
Te 0.1665 0.0000 0.6160 x4
Te 0.1749 0.0000 0.0487 x4

Calculated values
Formation energy (no corrections), eV per atom: -1.054
Theoretical density, g cm⁻³: 5.2
Energy, eV/atom: -4.37

***

[3]
DFT (GGA-PBE) results for a relaxed RbPmAgTe3 crystal.

a b c (Å): 4.4183 17.2442 11.5214
angles (deg): 90.00 90.00 90.00
Space group Cmcm (No. 63)
Asymmetric unit:
Rb 0.0000 0.2470 0.2500 x4
Pm 0.0000 0.0000 0.0000 x4
Ag 0.0000 0.4726 0.7500 x4
Te 0.0000 0.0768 0.7500 x4
Te 0.0000 0.3744 0.5570 x8

Calculated values
Formation energy (no corrections), eV per atom: -0.918
Fermi-level density of states, states/eV/cell: 18.535
Theoretical density, g cm⁻³: 5.5
Energy, eV/atom: -3.92

***

[4]
DFT (GGA-PBE) results for a relaxed PmThReAg crystal.

a b c (Å): 7.2501 7.2501 7.2501
angles (deg): 90.00 90.00 90.00
Space group F-43m (No. 216)
Asymmetric unit:
Pm 0.0000 0.0000 0.0000 x4
Th 0.0000 0.0000 0.5000 x4
Re 0.2500 0.2500 0.2500 x4
Ag 0.2500 0.2500 0.7500 x4

Calculated values
Fermi-level density of states, states/eV/cell: 8.875
Theoretical density, g cm⁻³: 11.7
Energy, eV/atom: -6.81
Energy relative to the elements, eV/atom: 0.054

***

[5]
DFT (GGA-PBE) results for a relaxed Pm6Ag2Rh crystal.

a b c (Å): 5.5109 7.1487 14.0726
angles (deg): 90.00 90.00 90.00
Space group Immm (No. 71)
Asymmetric unit:
Pm 0.0000 0.2316 0.0000 x4
Pm 0.0000 0.2494 0.3436 x8
Ag 0.0000 0.5000 0.1675 x4
Rh 0.0000 0.5000 0.5000 x2

Calculated values
Fermi-level density of states, states/eV/cell: 29.212
Theoretical density, g cm⁻³: 7.1
Energy, eV/atom: -4.72
Energy relative to the elements, eV/atom: -0.100

***

[6]
DFT (GGA-PBE) results for a relaxed Pm6AgRh5 crystal.

a b c (Å): 7.3327 11.2329 7.2952
angles (deg): 90.00 104.35 90.00
Space group C2/m (No. 12)
Asymmetric unit:
Pm 0.2029 0.0000 0.2154 x4
Pm 0.2220 0.1784 0.7181 x8
Ag 0.0000 0.5000 0.0000 x2
Rh 0.0000 0.0000 0.5000 x2
Rh 0.0000 0.2014 0.0000 x4
Rh 0.0000 0.3732 0.5000 x4

Calculated values
Fermi-level density of states, states/eV/cell: 9.118
Energy above the lowest structure with this stoichiometry, meV/atom: 109
Theoretical density, g cm⁻³: 8.5
Energy, eV/atom: -6.19
Energy relative to the elements, eV/atom: -0.515

***

[7]
DFT (GGA-PBE) results for a relaxed Pm7Ag2Rh2 crystal.

a b c (Å): 8.0007 11.2097 7.2336
angles (deg): 90.00 90.00 90.00
Space group Cmmm (No. 65)
Asymmetric unit:
Pm 0.0000 0.0000 0.0000 x2
Pm 0.0000 0.5000 0.2495 x4
Pm 0.2500 0.2500 0.2576 x8
Ag 0.1753 0.0000 0.5000 x4
Rh 0.0000 0.2917 0.0000 x4

Calculated values
Fermi-level density of states, states/eV/cell: 26.535
Theoretical density, g cm⁻³: 7.4
Energy, eV/atom: -5.15
Energy relative to the elements, eV/atom: -0.272

***

[8]
DFT (GGA-PBE) results for a relaxed Pm6Ag5Rh crystal.

a b c (Å): 5.2069 15.6052 7.4316
angles (deg): 90.00 90.00 90.00
Space group Cmmm (No. 65)
Asymmetric unit:
Pm 0.0000 0.0000 0.2360 x4
Pm 0.0000 0.3418 0.2433 x8
Ag 0.0000 0.1680 0.5000 x4
Ag 0.0000 0.1773 0.0000 x4
Ag 0.0000 0.5000 0.5000 x2
Rh 0.0000 0.5000 0.0000 x2

Calculated values
Fermi-level density of states, states/eV/cell: 20.534
Theoretical density, g cm⁻³: 8.3
Energy, eV/atom: -4.52
Energy relative to the elements, eV/atom: -0.344

***

[9]
DFT (GGA-PBE) results for a relaxed PmAgRh crystal.

a b c (Å): 3.7817 17.4564 3.9717
angles (deg): 90.00 90.00 90.00
Space group Cmcm (No. 63)
Asymmetric unit:
Pm 0.0000 0.1005 0.2500 x4
Ag 0.0000 0.2870 0.2500 x4
Rh 0.0000 0.4499 0.2500 x4

Calculated values
Fermi-level density of states, states/eV/cell: 7.943
Energy above the lowest structure with this stoichiometry, meV/atom: 0
Theoretical density, g cm⁻³: 9.0
Energy, eV/atom: -5.43
Energy relative to the elements, eV/atom: -0.448

***

[10]
DFT (GGA-PBE) results for a relaxed PmAgRh crystal.

a b c (Å): 3.6256 3.6256 9.5174
angles (deg): 90.00 90.00 90.00
Space group I4mm (No. 107)
Asymmetric unit:
Pm 0.0000 0.0000 0.0000 x2
Ag 0.0000 0.0000 0.6879 x2
Rh 0.0000 0.0000 0.3446 x2

Calculated values
Fermi-level density of states, states/eV/cell: 4.215
Energy above the lowest structure with this stoichiometry, meV/atom: 139
Theoretical density, g cm⁻³: 9.4
Energy, eV/atom: -5.29
Energy relative to the elements, eV/atom: -0.309

***

[11]
DFT (GGA-PBE) results for a relaxed PmAgRh crystal.

a b c (Å): 4.6026 4.6026 3.5748
angles (deg): 90.00 90.00 120.00
Space group P-6m2 (No. 187)
Asymmetric unit:
Pm 0.0000 0.0000 0.0000 x1
Ag 0.6667 0.3333 0.5000 x1
Rh 0.3333 0.6667 0.5000 x1

Calculated values
Fermi-level density of states, states/eV/cell: 2.056
Energy above the lowest structure with this stoichiometry, meV/atom: 146
Theoretical density, g cm⁻³: 9.0
Energy, eV/atom: -5.29
Energy relative to the elements, eV/atom: -0.302

***

[12]
DFT (GGA-PBE) results for a relaxed Pm8Ag2Rh crystal.

a b c (Å): 17.9214 5.2633 6.9887
angles (deg): 90.00 103.24 90.00
Space group C2/m (No. 12)
Asymmetric unit:
Pm 0.0260 0.0000 0.2837 x4
Pm 0.0884 0.5000 0.9408 x4
Pm 0.1570 0.5000 0.4706 x4
Pm 0.2010 0.0000 0.8196 x4
Ag 0.1894 0.0000 0.2358 x4
Rh 0.0000 0.5000 0.5000 x2

Calculated values
Fermi-level density of states, states/eV/cell: 24.162
Energy above the lowest structure with this stoichiometry, meV/atom: 0
Theoretical density, g cm⁻³: 7.7
Energy, eV/atom: -4.84
Energy relative to the elements, eV/atom: -0.203

***

[13]
DFT (GGA-PBE) results for a relaxed Pm5Ag4Rh crystal.

a b c (Å): 3.6513 3.6513 18.7651
angles (deg): 90.00 90.00 90.00
Space group P4/mmm (No. 123)
Asymmetric unit:
Pm 0.0000 0.0000 0.0000 x1
Pm 0.0000 0.0000 0.2052 x2
Pm 0.0000 0.0000 0.4113 x2
Ag 0.5000 0.5000 0.1024 x2
Ag 0.5000 0.5000 0.3059 x2
Rh 0.5000 0.5000 0.5000 x1

Calculated values
Fermi-level density of states, states/eV/cell: 8.014
Theoretical density, g cm⁻³: 8.4
Energy, eV/atom: -4.61
Energy relative to the elements, eV/atom: -0.354

***

[14]
DFT (GGA-PBE) results for a relaxed Pm3AgRh crystal.

a b c (Å): 7.3723 4.8499 15.1895
angles (deg): 90.00 90.00 90.00
Space group Pnma (No. 62)
Asymmetric unit:
Pm 0.0091 0.2500 0.1029 x4
Pm 0.1356 0.7500 0.4534 x4
Pm 0.1821 0.2500 0.7218 x4
Ag 0.0999 0.2500 0.3171 x4
Rh 0.2242 0.7500 0.0455 x4

Calculated values
Fermi-level density of states, states/eV/cell: 15.594
Energy above the lowest structure with this stoichiometry, meV/atom: 0
Theoretical density, g cm⁻³: 7.9
Energy, eV/atom: -5.31
Energy relative to the elements, eV/atom: -0.418

***

[15]
DFT (GGA-PBE) results for a relaxed Pm5Ag2Rh2 crystal.

a b c (Å): 15.9160 7.6394 7.7766
angles (deg): 90.00 90.00 90.00
Space group Cmce (No. 64)
Asymmetric unit:
Pm 0.0000 0.0000 0.0000 x4
Pm 0.1258 0.1702 0.3286 x16
Ag 0.2119 0.0000 0.0000 x8
Rh 0.0000 0.1336 0.6332 x8

Calculated values
Fermi-level density of states, states/eV/cell: 35.866
Theoretical density, g cm⁻³: 8.1
Energy, eV/atom: -5.36
Energy relative to the elements, eV/atom: -0.453

***

[16]
DFT (GGA-PBE) results for a relaxed Pm4AgRh crystal.

a b c (Å): 4.1715 6.2066 7.8110
angles (deg): 111.82 90.07 90.00
Space group P-1 (No. 2)
Asymmetric unit:
Pm 0.9998 0.0341 0.2648 x2
Pm 0.4996 0.4653 0.7116 x2
Ag 0.0000 0.5000 0.0000 x1
Rh 0.5000 0.0000 0.5000 x1

Calculated values
Fermi-level density of states, states/eV/cell: 5.722
Energy above the lowest structure with this stoichiometry, meV/atom: 164
Theoretical density, g cm⁻³: 7.0
Energy, eV/atom: -5.10
Energy relative to the elements, eV/atom: -0.234

***

[17]
DFT (GGA-PBE) results for a relaxed Pm5AgRh2 crystal.

a b c (Å): 7.9179 7.9179 13.6519
angles (deg): 90.00 90.00 90.00
Space group I4/mcm (No. 140)
Asymmetric unit:
Pm 0.0000 0.0000 0.0000 x4
Pm 0.1616 0.3384 0.1359 x16
Ag 0.0000 0.0000 0.2500 x4
Rh 0.1373 0.3627 0.5000 x8

Calculated values
Fermi-level density of states, states/eV/cell: 35.990
Theoretical density, g cm⁻³: 8.1
Energy, eV/atom: -5.65
Energy relative to the elements, eV/atom: -0.486

***

[18]
DFT (GGA-PBE) results for a relaxed Pm2Ag3Rh2 crystal.

a b c (Å): 3.9196 20.2024 3.7886
angles (deg): 90.00 90.00 90.00
Space group Cmmm (No. 65)
Asymmetric unit:
Pm 0.0000 0.1627 0.0000 x4
Ag 0.0000 0.0000 0.0000 x2
Ag 0.0000 0.4327 0.5000 x4
Rh 0.0000 0.2941 0.5000 x4

Calculated values
Fermi-level density of states, states/eV/cell: 4.994
Theoretical density, g cm⁻³: 9.1
Energy, eV/atom: -5.05
Energy relative to the elements, eV/atom: -0.373

***

[19]
DFT (GGA-PBE) results for a relaxed Pm5AgRh4 crystal.

a b c (Å): 3.5396 3.5396 18.0764
angles (deg): 90.00 90.00 90.00
Space group P4/mmm (No. 123)
Asymmetric unit:
Pm 0.0000 0.0000 0.0000 x1
Pm 0.0000 0.0000 0.1932 x2
Pm 0.0000 0.0000 0.3843 x2
Ag 0.5000 0.5000 0.5000 x1
Rh 0.5000 0.5000 0.0973 x2
Rh 0.5000 0.5000 0.2934 x2

Calculated values
Fermi-level density of states, states/eV/cell: 7.324
Theoretical density, g cm⁻³: 9.1
Energy, eV/atom: -6.22
Energy relative to the elements, eV/atom: -0.615

***

[20]
DFT (GGA-PBE) results for a relaxed Pm6AgRh5 crystal.

a b c (Å): 4.9980 7.1673 7.8806
angles (deg): 90.00 108.18 90.00
Space group P2/m (No. 10)
Asymmetric unit:
Pm 0.0000 0.2399 0.0000 x2
Pm 0.3288 0.2466 0.6588 x4
Ag 0.5000 0.5000 0.0000 x1
Rh 0.1642 0.5000 0.3264 x2
Rh 0.1691 0.0000 0.3358 x2
Rh 0.5000 0.0000 0.0000 x1

Calculated values
Fermi-level density of states, states/eV/cell: 6.414
Energy above the lowest structure with this stoichiometry, meV/atom: 0
Theoretical density, g cm⁻³: 9.2
Energy, eV/atom: -6.30
Energy relative to the elements, eV/atom: -0.623